Record 1
The following is a PBE calculation of crystalline Ni2TePb at its relaxed geometry, from Alexandria via LeMat-Bulk.

Lattice parameters (Å, degrees): 3.352 3.352 6.713 90.00 90.00 90.00
Positions (direct):
Ni1 0.000 0.000 0.197
Ni2 0.000 0.000 0.803
Te1 0.500 0.500 0.000
Pb1 0.500 0.500 0.500

Computed properties:
For the calculated total energy, the calculation gives -17.54 eV per cell. The volume comes out at 75 Å³/f.u. The energy relative to the elements, uncorrected comes out at 0.217 eV/atom.

---

Record 2
The following is a PBE calculation of crystalline Zr3Zn2Au3 at its relaxed geometry, from Alexandria via LeMat-Bulk.

Lattice parameters (Å, degrees): 8.165 8.165 5.296 90.00 90.00 120.00
Positions (direct):
Zr1 0.000 0.247 0.250
Zr2 0.000 0.753 0.750
Zr3 0.247 0.000 0.250
Zr4 0.247 0.247 0.750
Zr5 0.753 0.000 0.750
Zr6 0.753 0.753 0.250
Zn1 0.333 0.667 0.000
Zn2 0.333 0.667 0.500
Zn3 0.667 0.333 0.000
Zn4 0.667 0.333 0.500
Au1 0.000 0.401 0.750
Au2 0.000 0.599 0.250
Au3 0.401 0.000 0.750
Au4 0.401 0.401 0.250
Au5 0.599 0.000 0.250
Au6 0.599 0.599 0.750

Computed properties:
For the calculated total energy, the calculation gives -82.65 eV per cell. The calculation puts the formation energy at -318 kJ/mol of formula units. The volume comes out at 153 Å³/f.u.